Record 1
Material: TaCoGe2O8
Method: DFT, PBE+U
State: relaxed

## Properties
The space group is I-4m2, No. 119. The calculated density is 6.4 g/cm³. The calculation puts the energy at -7.159 eV/atom. As for the total magnetization: 3.982 μB/f.u.

```
TaCoGe2O8
1.0
-3.2751 3.2751 3.1207
3.2751 -3.2751 3.1207
3.2751 3.2751 -3.1207
Ta Co Ge O
1 1 2 8
Cartesian
0.0000 0.0000 0.0000
0.0000 3.2751 1.5604
3.2751 0.0000 1.5604
0.0000 0.0000 3.1207
2.0102 0.0000 0.3501
4.5401 0.0000 0.3501
3.2751 2.0593 -1.2868
3.2751 -1.2649 2.7706
0.0000 1.2159 1.8339
3.2751 1.2649 2.7706
2.0593 3.2751 1.2868
1.2159 0.0000 4.4076
```

=====

Record 2
Material: CoTcGeO6
Method: DFT, PBE+U
State: relaxed

## Properties
The space group is P-31c, No. 163. The calculated density is 5.6 g/cm³. The calculation puts the energy at -6.801 eV/atom. As for the total magnetization: 1.988 μB/f.u.

```
CoTcGeO6
1.0
5.0283 0.0000 0.0000
-2.5141 4.3546 0.0000
0.0000 0.0000 8.8772
Co Tc Ge O
2 2 2 12
Cartesian
0.0000 0.0000 0.0000
0.0000 0.0000 4.4386
0.0000 2.9031 2.2193
2.5141 1.4515 6.6579
0.0000 2.9031 6.6579
2.5141 1.4515 2.2193
-0.8757 1.5454 5.6231
-1.6137 2.8236 7.6927
0.8757 1.5454 7.6927
-0.7380 4.3403 5.6231
1.7762 0.0143 1.1845
0.9005 1.5310 3.2541
1.6137 2.8236 5.6231
0.7380 4.3403 7.6927
3.2521 0.0143 3.2541
1.6385 2.8093 1.1845
4.1278 1.5310 1.1845
3.3898 2.8093 3.2541
```

=====

Record 3
Material: Co2TcGeO6
Method: DFT, PBE+U
State: relaxed

## Properties
The space group is R3, No. 146. The calculated density is 6.1 g/cm³. The calculation puts the energy at -6.733 eV/atom. As for the total magnetization: 9.000 μB/f.u.

```
Co2TcGeO6
1.0
2.5785 1.4887 4.5607
-2.5785 1.4887 4.5607
0.0000 -2.9774 4.5607
Co Tc Ge O
2 1 1 6
Cartesian
0.0000 0.0000 0.0000
0.0000 0.0000 6.8362
0.0000 0.0000 10.8058
0.0000 0.0000 3.9388
-1.5227 -0.1066 5.2273
-0.9713 -1.6372 7.5793
0.8536 -1.2654 5.2273
-0.9322 1.6598 7.5793
0.6690 1.3720 5.2273
1.9035 -0.0226 7.5793
```

=====

Record 4
Material: TmCo2GeO6
Method: DFT, PBE+U
State: relaxed

## Properties
The space group is P1, No. 1. The calculated density is 7.1 g/cm³. The calculation puts the energy at -6.693 eV/atom. As for the total magnetization: 3.025 μB/f.u.

```
TmCo2GeO6
1.0
5.1760 0.0000 0.0000
2.5786 4.4882 0.0000
2.5765 1.5042 4.5859
Tm Co Ge O
1 2 1 6
Cartesian
0.0000 0.0000 0.0000
2.5873 1.5074 1.7054
7.7438 4.5026 4.0819
5.1633 3.0060 2.2230
4.3166 4.4999 3.0568
3.7547 2.8823 0.8287
4.2849 1.5191 3.0508
5.7670 4.2856 0.8258
6.8791 2.9882 3.0550
5.9700 1.8254 0.8247
```

=====

Record 5
Material: YCoGe2O
Method: DFT, PBE+U
State: relaxed

## Properties
The space group is P4/mmm, No. 123. The calculated density is 3.5 g/cm³. The calculation puts the energy at -3.594 eV/atom. As for the total magnetization: 0.326 μB/f.u.

```
YCoGe2O
1.0
5.4828 0.0000 0.0000
0.0000 5.4828 0.0000
0.0000 0.0000 4.8737
Y Co Ge O
1 1 2 1
Cartesian
0.0000 0.0000 0.0000
0.0000 0.0000 2.4368
0.0000 2.7414 0.0000
2.7414 0.0000 0.0000
2.7414 2.7414 2.4368
```

=====

Record 6
Material: ZnCoGe2O6
Method: DFT, PBE+U
State: relaxed

## Properties
The space group is C2/c, No. 15. The calculated density is 5.0 g/cm³. The calculation puts the energy at -6.017 eV/atom. As for the total magnetization: 3.019 μB/f.u.

```
ZnCoGe2O6
1.0
5.0702 -4.6822 0.0000
5.0702 4.6822 0.0000
-1.7896 0.0000 5.1478
Zn Co Ge O
2 2 4 12
Cartesian
3.7280 2.4694 3.8608
4.6228 -2.4694 1.2869
4.6228 3.7468 1.2869
3.7280 -3.7468 3.8608
2.6166 0.8262 1.3018
1.7218 -0.8262 3.8756
6.6291 0.8262 1.2721
5.7343 -0.8262 3.8460
0.9400 0.7725 0.7037
3.1702 2.3377 1.9987
0.0452 -0.7725 3.2776
1.9124 0.4889 5.0738
6.0755 2.3377 0.5752
2.8073 -0.4889 2.5000
5.5436 0.4889 2.6478
2.2754 -2.3377 4.5725
6.4384 -0.4889 0.0739
8.3057 0.7725 1.8702
5.1807 -2.3377 3.1491
7.4108 -0.7725 4.4440
```